Compound: NdPuU2Sb4
Source: Alexandria via LeMat-Bulk
Functional: PBE
Structure: relaxed

Cell lengths 4.373, 7.743, 7.673 Å; angles 108.80, 90.00, 90.00 degrees
Last column: magnetic moment on the atom in μB.
Element x y z (fractional)
Sb1 0.000 0.755 0.257  -0.03
Sb2 0.000 0.245 0.743  -0.03
U1 0.500 0.000 0.500  2.37
Sb3 0.500 0.751 0.744  -0.02
Pu1 0.000 0.000 0.000  5.32
Nd1 0.500 0.500 0.000  0.00
U2 0.000 0.500 0.500  -2.46
Sb4 0.500 0.249 0.256  -0.02

Properties
The calculation puts the raw formation energy at -0.520 eV per atom. The spin magnetization comes out at 0.67 μB per atom. For the density of states at the Fermi level, the calculation gives 3.322 states/eV per atom. The value obtained for the raw total energy is -7.7909 eV/atom. As for the space group: P2/m (10).

***

Compound: NdPu4Sc
Source: Alexandria via LeMat-Bulk
Functional: PBE
Structure: relaxed

Cell lengths 6.122, 6.122, 6.122 Å; angles 60.00, 60.00, 60.00 degrees
Last column: magnetic moment on the atom in μB.
Element x y z (fractional)
Sc1 0.000 0.000 0.000  0.02
Pu1 0.626 0.626 0.123  5.34
Pu2 0.123 0.626 0.626  5.34
Pu3 0.626 0.626 0.626  5.34
Nd1 0.250 0.250 0.250  0.00
Pu4 0.626 0.123 0.626  5.34

Properties
For the formation energy, the calculation gives 6.32 kcal/mol of atoms. The spin magnetization comes out at 3.76 μB per atom. For the density of states at the Fermi level, the calculation gives 4.437 states/eV per atom. The value obtained for the raw total energy is -11.1305 eV/atom. As for the space group: F-43m (216).

***

Compound: NdPu2Sc
Source: Alexandria via LeMat-Bulk
Functional: PBE
Structure: relaxed

Cell lengths 3.358, 3.358, 9.926 Å; angles 90.00, 90.00, 90.00 degrees
Last column: magnetic moment on the atom in μB.
Element x y z (fractional)
Pu1 0.000 0.000 0.233  5.57
Sc1 0.500 0.500 0.000  0.30
Nd1 0.500 0.500 0.500  0.04
Pu2 0.000 0.000 0.767  5.57

Properties
For the formation energy, the calculation gives 4.62 kcal/mol of atoms. The spin magnetization comes out at 3.16 μB per atom. The calculation puts the distance to the lowest polymorph of the same formula at 65 meV/atom. For the density of states at the Fermi level, the calculation gives 3.376 states/eV per atom. The value obtained for the raw total energy is -9.7407 eV/atom. As for the space group: P4/mmm (123).

***

Compound: NdPuSc2
Source: Alexandria via LeMat-Bulk
Functional: PBE
Structure: relaxed

Cell lengths 3.378, 3.378, 11.132 Å; angles 81.27, 81.27, 60.00 degrees
Last column: magnetic moment on the atom in μB.
Element x y z (fractional)
Sc1 0.079 0.079 0.762  -0.01
Sc2 0.254 0.254 0.239  -0.01
Pu1 0.666 0.666 0.001  -5.36
Nd1 0.501 0.501 0.498  -0.01

Properties
For the formation energy, the calculation gives 2.89 kcal/mol of atoms. The spin magnetization comes out at 1.43 μB per atom. The calculation puts the distance to the lowest polymorph of the same formula at 13 meV/atom. For the density of states at the Fermi level, the calculation gives 2.683 states/eV per atom. The value obtained for the raw total energy is -7.8155 eV/atom. As for the space group: R3m (160).